1.
DFT (PBE) results for an optimized crystal structure of Fe3BPb.

abc: 4.922 4.922 4.922
angles: 90.00 90.00 90.00
Element x y z (fractional)
Fe1 0.000 0.000 0.500
Fe2 0.000 0.500 0.000
Fe3 0.500 0.000 0.000
B1 0.500 0.500 0.500
Pb1 0.000 0.000 0.000

Calculated values
The value obtained for the total magnetic moment is 8.847 μB per formula unit. The raw total energy comes out at -23.52 eV/cell. The value obtained for the calculated formation energy is 56.526 kcal/mol of atoms. The value obtained for the energy above the most stable polymorph in this dataset is 2.224 eV/atom. The mass density comes out at 5.368 g/cm³.

***

2.
DFT (PBE) results for an optimized crystal structure of FeBPb3.

abc: 5.083 5.083 5.083
angles: 90.00 90.00 90.00
Element x y z (fractional)
Fe1 0.000 0.000 0.000
B1 0.500 0.500 0.500
Pb1 0.000 0.000 0.500
Pb2 0.000 0.500 0.000
Pb3 0.500 0.000 0.000

Calculated values
The value obtained for the total magnetic moment is 2.718 μB per formula unit. The raw total energy comes out at -20.58 eV/cell. The value obtained for the calculated formation energy is 26.219 kcal/mol of atoms. The value obtained for the energy above the most stable polymorph in this dataset is 0.000 eV/atom. The mass density comes out at 8.702 g/cm³.

***

3.
DFT (PBE) results for an optimized crystal structure of FeBPb3.

abc: 4.960 4.960 4.960
angles: 90.00 90.00 90.00
Element x y z (fractional)
Fe1 0.000 0.000 0.000
B1 0.500 0.500 0.500
Pb1 0.000 0.500 0.500
Pb2 0.500 0.000 0.500
Pb3 0.500 0.500 0.000

Calculated values
The value obtained for the total magnetic moment is 0.226 μB per formula unit. The raw total energy comes out at -19.41 eV/cell. The value obtained for the calculated formation energy is 31.597 kcal/mol of atoms. The value obtained for the energy above the most stable polymorph in this dataset is 0.233 eV/atom. The mass density comes out at 9.364 g/cm³.

***

4.
DFT (PBE) results for an optimized crystal structure of Fe3BPb.

abc: 4.002 4.002 4.002
angles: 90.00 90.00 90.00
Element x y z (fractional)
Fe1 0.000 0.000 0.500
Fe2 0.000 0.500 0.000
Fe3 0.500 0.000 0.000
B1 0.000 0.000 0.000
Pb1 0.500 0.500 0.500

Calculated values
The value obtained for the total magnetic moment is 5.137 μB per formula unit. The raw total energy comes out at -34.64 eV/cell. The value obtained for the calculated formation energy is 5.239 kcal/mol of atoms. The value obtained for the energy above the most stable polymorph in this dataset is 0.000 eV/atom. The mass density comes out at 9.985 g/cm³.

***

5.
DFT (PBE) results for an optimized crystal structure of FeBPtPb2.

abc: 4.946 4.946 3.901
angles: 90.00 90.00 90.00
Element x y z (fractional)
Fe1 0.000 0.000 0.000
B1 0.000 0.000 0.500
Pt1 0.500 0.500 0.000
Pb1 0.000 0.500 0.500
Pb2 0.500 0.000 0.500

Calculated values
The value obtained for the total magnetic moment is 2.154 μB per formula unit. The raw total energy comes out at -25.43 eV/cell. The value obtained for the calculated formation energy is 14.590 kcal/mol of atoms. The mass density comes out at 11.768 g/cm³.

***

6.
DFT (PBE) results for an optimized crystal structure of FeBSbPb2.

abc: 5.363 5.363 3.861
angles: 90.00 90.00 90.00
Element x y z (fractional)
Fe1 0.000 0.000 0.000
B1 0.000 0.000 0.500
Sb1 0.500 0.500 0.500
Pb1 0.000 0.500 0.000
Pb2 0.500 0.000 0.000

Calculated values
The value obtained for the total magnetic moment is 1.189 μB per formula unit. The raw total energy comes out at -23.72 eV/cell. The formation energy from raw total energies is 591 meV/atom. The mass density comes out at 9.014 g/cm³.